Material: AlCd2Cl
Method: DFT, PBE
State: relaxed

```
data_AlCd2Cl
_chemical_formula_sum 'Al1 Cd2 Cl1'
_symmetry_space_group_name_H-M 'P 1'
_symmetry_Int_Tables_number 1
_symmetry_space_group_name_Hall 'P 1'
_cell_length_a 5.843
_cell_length_b 5.843
_cell_length_c 5.843
_cell_angle_alpha 136.21
_cell_angle_beta 136.21
_cell_angle_gamma 63.65
loop_
_atom_site_label
_atom_site_type_symbol
_atom_site_fract_x
_atom_site_fract_y
_atom_site_fract_z
Cl1 Cl 0.500 0.500 0.000
Al1 Al 0.750 0.250 0.500
Cd1 Cd 0.000 0.000 0.000
Cd2 Cd 0.250 0.750 0.500
```

Distance to the lowest polymorph of the same formula, meV per atom: 225
Calculated density, g/cm3: 5.06
Magnetization, μB/atom: 0.000
Raw formation energy, eV per atom: -0.0043

Material: AlCd2Cl
Method: DFT, PBE
State: relaxed

```
data_AlCd2Cl
_chemical_formula_sum 'Al1 Cd2 Cl1'
_symmetry_space_group_name_H-M 'P 1'
_symmetry_Int_Tables_number 1
_symmetry_space_group_name_Hall 'P 1'
_cell_length_a 5.124
_cell_length_b 3.019
_cell_length_c 5.713
_cell_angle_alpha 90.01
_cell_angle_beta 90.00
_cell_angle_gamma 90.00
loop_
_atom_site_label
_atom_site_type_symbol
_atom_site_fract_x
_atom_site_fract_y
_atom_site_fract_z
Cl1 Cl 0.000 0.749 0.625
Al1 Al 0.500 0.747 0.625
Cd1 Cd 0.000 0.752 0.125
Cd2 Cd 0.500 0.252 0.126
```

Distance to the lowest polymorph of the same formula, meV per atom: 38
Calculated density, g/cm3: 5.40
Magnetization, μB/atom: 0.000
Raw formation energy, eV per atom: -0.1914

Material: Al2CdCl
Method: DFT, PBE
State: relaxed

```
data_Al2CdCl
_chemical_formula_sum 'Al2 Cd1 Cl1'
_symmetry_space_group_name_H-M 'P 1'
_symmetry_Int_Tables_number 1
_symmetry_space_group_name_Hall 'P 1'
_cell_length_a 5.467
_cell_length_b 5.467
_cell_length_c 5.198
_cell_angle_alpha 95.58
_cell_angle_beta 95.58
_cell_angle_gamma 32.48
loop_
_atom_site_label
_atom_site_type_symbol
_atom_site_fract_x
_atom_site_fract_y
_atom_site_fract_z
Cl1 Cl 0.750 0.750 0.750
Al1 Al 0.975 0.975 0.990
Al2 Al 0.525 0.525 0.510
Cd1 Cd 0.250 0.250 0.250
```

Distance to the lowest polymorph of the same formula, meV per atom: 152
Calculated density, g/cm3: 4.04
Magnetization, μB/atom: 0.000
Raw formation energy, eV per atom: -0.0330

Material: AlCd2Cl
Method: DFT, PBE
State: relaxed

```
data_AlCd2Cl
_chemical_formula_sum 'Al2 Cd4 Cl2'
_symmetry_space_group_name_H-M 'P 1'
_symmetry_Int_Tables_number 1
_symmetry_space_group_name_Hall 'P 1'
_cell_length_a 6.847
_cell_length_b 6.847
_cell_length_c 7.270
_cell_angle_alpha 61.90
_cell_angle_beta 61.90
_cell_angle_gamma 90.00
loop_
_atom_site_label
_atom_site_type_symbol
_atom_site_fract_x
_atom_site_fract_y
_atom_site_fract_z
Cl1 Cl 0.000 0.000 0.000
Cl2 Cl 0.750 0.250 0.500
Al1 Al 0.500 0.500 0.000
Al2 Al 0.250 0.750 0.500
Cd1 Cd 0.610 0.125 0.250
Cd2 Cd 0.140 0.625 0.250
Cd3 Cd 0.375 0.390 0.750
Cd4 Cd 0.875 0.860 0.750
```

Distance to the lowest polymorph of the same formula, meV per atom: 203
Calculated density, g/cm3: 3.75
Magnetization, μB/atom: 0.000
Raw formation energy, eV per atom: -0.0270